# 1
The following is a DFT calculation (GGA-PBE) of an optimized crystal structure of FeHRh2Au.

abc: 3.9579 3.9579 3.9299
angles: 90.00 90.00 90.00
With the nearest neighbours (Å) after each atom.
Space group P4/mmm (No. 123)
Asymmetric unit:
Fe  0.0000  0.0000  0.0000 [1 per cell]  2 H 1.96
H  0.0000  0.0000  0.5000 [1 per cell]  2 Fe 1.96, 4 Rh 1.98
Rh  0.0000  0.5000  0.5000 [2 per cell]  2 H 1.98
Au  0.5000  0.5000  0.0000 [1 per cell]  8 Rh 2.79, 4 Fe 2.80

Calculated values
crystal system = tetragonal
E above lowest polymorph = 0.000 kcal/mol of atoms
total magnetic moment = 0.97 μB/atom

***

# 2
The following is a DFT calculation (GGA-PBE) of an optimized crystal structure of Li5Ca4La.

abc: 3.9353 3.9353 19.8723
angles: 90.00 90.00 90.00
With the nearest neighbours (Å) after each atom.
Space group P4/mmm (No. 123)
Asymmetric unit:
Li  0.0000  0.0000  0.0000 [1 per cell]  8 Ca 3.42
Li  0.0000  0.0000  0.1991 [2 per cell]  8 Ca 3.41-3.45
Li  0.0000  0.0000  0.3992 [2 per cell]  4 Ca 3.39, 4 La 3.43
Ca  0.5000  0.5000  0.0996 [2 per cell]  8 Li 3.41-3.42
Ca  0.5000  0.5000  0.3016 [2 per cell]  8 Li 3.39-3.45
La  0.5000  0.5000  0.5000 [1 per cell]  8 Li 3.43

Calculated values
crystal system = tetragonal
total magnetic moment = 0.02 μB/atom
formation energy = 42 meV/atom